## Tb3NdTm3Se8 (PBE)

Data for a geometry-optimized Tb3NdTm3Se8 structure.

POSCAR file:
```
Tb3NdTm3Se8
1.0
4.052 2.340 6.620
-4.052 2.340 6.620
0.000 -4.679 6.620
Tb Nd Tm Se
3 1 3 8
Direct
0.000 0.500 0.500
0.500 0.000 0.500
0.500 0.500 0.000
0.500 0.500 0.500
0.000 0.000 0.500
0.000 0.500 0.000
0.500 0.000 0.000
0.235 0.761 0.761
0.239 0.239 0.765
0.239 0.765 0.239
0.248 0.248 0.248
0.752 0.752 0.752
0.761 0.235 0.761
0.761 0.761 0.235
0.765 0.239 0.239
```

Magnetic moment = 0.00 Bohr magnetons per cell
VASP energy = -5.80 eV per atom


## TbNd4Tm3Se8 (PBE)

Data for a geometry-optimized TbNd4Tm3Se8 structure.

POSCAR file:
```
TbNd4Tm3Se8
1.0
4.075 2.353 6.957
-4.075 2.353 6.957
0.000 -4.705 6.957
Tb Nd Tm Se
1 4 3 8
Direct
0.000 0.000 0.000
0.000 0.000 0.500
0.000 0.500 0.000
0.500 0.000 0.000
0.500 0.500 0.500
0.000 0.500 0.500
0.500 0.000 0.500
0.500 0.500 0.000
0.246 0.246 0.740
0.246 0.740 0.246
0.257 0.257 0.257
0.260 0.754 0.754
0.740 0.246 0.246
0.743 0.743 0.743
0.754 0.260 0.754
0.754 0.754 0.260
```

Magnetic moment = 0.00 Bohr magnetons per cell
VASP energy = -5.83 eV per atom


## Tb3NdY3Se8 (PBE)

Data for a geometry-optimized Tb3NdY3Se8 structure.

POSCAR file:
```
Tb3NdY3Se8
1.0
4.084 2.358 6.671
-4.084 2.358 6.671
0.000 -4.716 6.671
Tb Nd Y Se
3 1 3 8
Direct
0.000 0.500 0.500
0.500 0.000 0.500
0.500 0.500 0.000
0.500 0.500 0.500
0.000 0.000 0.500
0.000 0.500 0.000
0.500 0.000 0.000
0.240 0.759 0.759
0.241 0.241 0.760
0.241 0.760 0.241
0.250 0.250 0.250
0.750 0.750 0.750
0.759 0.240 0.759
0.759 0.759 0.240
0.760 0.241 0.241
```

Magnetic moment = 0.00 Bohr magnetons per cell
VASP energy = -6.24 eV per atom


## Tb3NdY2Se6 (PBE)

Data for a geometry-optimized Tb3NdY2Se6 structure.

POSCAR file:
```
Tb3NdY2Se6
1.0
3.552 -6.184 0.000
3.552 6.184 0.000
-2.376 0.000 6.728
Tb Nd Y Se
3 1 2 6
Direct
0.000 0.000 0.000
0.339 0.661 0.000
0.661 0.339 0.000
0.500 0.500 0.500
0.166 0.834 0.500
0.834 0.166 0.500
0.073 0.415 0.245
0.242 0.242 0.750
0.415 0.073 0.245
0.585 0.927 0.755
0.758 0.758 0.250
0.927 0.585 0.755
```

Magnetic moment = 0.00 Bohr magnetons per cell
VASP energy = -6.16 eV per atom


## TbNd2Y3Se6 (PBE)

Data for a geometry-optimized TbNd2Y3Se6 structure.

POSCAR file:
```
TbNd2Y3Se6
1.0
9.026 -2.056 0.000
9.026 2.056 0.000
-1.987 0.000 8.091
Tb Nd Y Se
1 2 3 6
Direct
0.000 0.000 0.000
0.332 0.332 0.664
0.668 0.668 0.336
0.000 0.000 0.500
0.330 0.330 0.167
0.670 0.670 0.833
0.163 0.163 0.591
0.165 0.165 0.074
0.497 0.497 0.248
0.503 0.503 0.752
0.835 0.835 0.926
0.837 0.837 0.409
```

Magnetic moment = 0.00 Bohr magnetons per cell
VASP energy = -6.33 eV per atom


## Tb2NdYSe6 (PBE)

Data for a geometry-optimized Tb2NdYSe6 structure.

POSCAR file:
```
Tb2NdYSe6
1.0
3.649 2.107 6.526
-3.649 2.107 6.526
0.000 -4.214 6.526
Tb Nd Y Se
2 1 1 6
Direct
0.000 0.000 0.000
0.497 0.497 0.497
0.199 0.199 0.199
0.695 0.695 0.695
0.096 0.402 0.788
0.290 0.887 0.611
0.402 0.788 0.096
0.611 0.290 0.887
0.788 0.096 0.402
0.887 0.611 0.290
```

Magnetic moment = 0.00 Bohr magnetons per cell
VASP energy = -5.99 eV per atom


Q: Among the records above, which one has the highest VASP energy?
A: Tb3NdTm3Se8